Compound: KHg2MoRu
Source: Alexandria
Functional: PBE-GGA
Structure: optimized geometry

abc: 5.7356 5.7356 5.9995
angles: 90.00 90.00 90.00
Last column: nearest neighbours and their distance in Å.
Fractional positions:
Hg 0.0000 0.5000 0.0000  2 K 2.87
Hg 0.5000 0.0000 0.0000  2 K 2.87
K 0.0000 0.0000 0.0000  4 Hg 2.87, 2 Mo 3.00
Ru 0.5000 0.5000 0.5000  4 Mo 4.06, 8 Hg 4.15
Mo 0.0000 0.0000 0.5000  2 K 3.00

ΔH_f (0 K) = 2378 meV/atom

=====

Compound: KSi2HgMo
Source: Alexandria
Functional: PBE-GGA
Structure: optimized geometry

abc: 4.7990 6.5315 4.7990
angles: 90.00 90.00 90.00
Last column: nearest neighbours and their distance in Å.
Fractional positions:
Hg 0.5000 0.5000 0.5000  4 K 3.39
Mo 0.0000 0.0000 0.0000  4 Si 2.40
K 0.0000 0.5000 0.0000  2 Mo 3.27, 4 Hg 3.39
Si 0.5000 0.0000 0.0000  2 Mo 2.40
Si 0.0000 0.0000 0.5000  2 Mo 2.40

=====

E_tot in eV per cell, matching the order above: -9.92 -20.14